[1]
VASP calculation (GGA-PBE) on an optimized crystal structure of CdInGa.

```
CdInGa
1.0
6.480 -0.144 0.007
-2.556 4.524 0.146
-0.740 -4.369 4.723
Cd In Ga
2 2 2
Direct
0.766 0.039 0.976
0.605 0.539 0.138
0.018 0.752 0.610
0.238 0.252 0.389
0.206 0.600 0.951
0.579 0.100 0.577
```

The value obtained for the formation energy is 0.06 eV per atom. For the magnetization, the calculation gives 0.000 μB/cell.



[2]
VASP calculation (GGA-PBE) on an optimized crystal structure of Cd2In3Ga4.

```
Cd2In3Ga4
1.0
3.180 0.000 0.000
-1.590 2.754 0.000
0.000 0.000 23.731
In Cd Ga
3 2 4
Direct
0.333 0.667 0.351
0.000 0.000 0.018
0.000 0.000 0.673
0.333 0.667 0.136
0.333 0.667 0.899
0.000 0.000 0.463
0.333 0.667 0.780
0.333 0.667 0.562
0.000 0.000 0.241
```

The value obtained for the formation energy is 0.06 eV per atom. For the magnetization, the calculation gives 0.000 μB/cell.